Record 1
Compound: Ag2IrPt
Source: the Alexandria database
Functional: PBE
Structure: relaxed

Properties
DFT formation energy (meV/atom): 343
Energy above the most stable polymorph in this dataset (meV/atom): 179
ρ (g/cm³): 15.28

```
data_Ag2IrPt
_chemical_formula_sum 'Ag2 Ir1 Pt1'
_cell_length_a 2.7046
_cell_length_b 4.3740
_cell_length_c 5.5400
_cell_angle_alpha 90.00
_cell_angle_beta 90.00
_cell_angle_gamma 90.00
_space_group_name_H-M_alt 'P m m m'
_space_group_IT_number 47
_space_group_name_Hall '-P 2 2'
loop_
_atom_site_label
_atom_site_type_symbol
_atom_site_fract_x
_atom_site_fract_y
_atom_site_fract_z
_atom_site_occupancy
Ag1 Ag 0.0000 0.0000 0.2485 1
Ir1 Ir 0.5000 0.5000 0.0000 1
Pt1 Pt 0.5000 0.5000 0.5000 1
```

Record 2
Compound: Ag2IrPt
Source: the Alexandria database
Functional: PBE
Structure: relaxed

Properties
DFT formation energy (meV/atom): 502
Energy above the most stable polymorph in this dataset (meV/atom): 338
ρ (g/cm³): 15.20

```
data_Ag2IrPt
_chemical_formula_sum 'Ag2 Ir1 Pt1'
_cell_length_a 3.3841
_cell_length_b 3.3841
_cell_length_c 5.7519
_cell_angle_alpha 90.00
_cell_angle_beta 90.00
_cell_angle_gamma 90.00
_space_group_name_H-M_alt 'P 4/m m m'
_space_group_IT_number 123
_space_group_name_Hall '-P 4 2'
loop_
_atom_site_label
_atom_site_type_symbol
_atom_site_fract_x
_atom_site_fract_y
_atom_site_fract_z
_atom_site_occupancy
Ag1 Ag 0.0000 0.0000 0.2482 1
Ir1 Ir 0.5000 0.5000 0.0000 1
Pt1 Pt 0.5000 0.5000 0.5000 1
```

Record 3
Compound: Ag2IrPt
Source: the Alexandria database
Functional: PBE
Structure: relaxed

Properties
DFT formation energy (meV/atom): 170
Energy above the most stable polymorph in this dataset (meV/atom): 6
ρ (g/cm³): 15.31

```
data_Ag2IrPt
_chemical_formula_sum 'Ag2 Ir1 Pt1'
_cell_length_a 2.7973
_cell_length_b 2.7973
_cell_length_c 8.3562
_cell_angle_alpha 90.00
_cell_angle_beta 90.00
_cell_angle_gamma 90.00
_space_group_name_H-M_alt 'P 4 m m'
_space_group_IT_number 99
_space_group_name_Hall 'P 4 -2'
loop_
_atom_site_label
_atom_site_type_symbol
_atom_site_fract_x
_atom_site_fract_y
_atom_site_fract_z
_atom_site_occupancy
Ag1 Ag 0.0000 0.0000 0.0000 1
Ag2 Ag 0.5000 0.5000 0.2644 1
Ir1 Ir 0.0000 0.0000 0.5185 1
Pt1 Pt 0.5000 0.5000 0.7418 1
```

Record 4
Compound: AgIrPt
Source: the Alexandria database
Functional: PBE
Structure: relaxed

Properties
DFT formation energy (meV/atom): 729
Energy above the most stable polymorph in this dataset (meV/atom): 716
ρ (g/cm³): 14.37

```
data_AgIrPt
_chemical_formula_sum 'Ag4 Ir4 Pt4'
_cell_length_a 6.1173
_cell_length_b 6.1173
_cell_length_c 6.1173
_cell_angle_alpha 90.00
_cell_angle_beta 90.00
_cell_angle_gamma 90.00
_space_group_name_H-M_alt 'F -4 3 m'
_space_group_IT_number 216
_space_group_name_Hall 'F -4 2 3'
loop_
_atom_site_label
_atom_site_type_symbol
_atom_site_fract_x
_atom_site_fract_y
_atom_site_fract_z
_atom_site_occupancy
Ag1 Ag 0.0000 0.0000 0.0000 1
Ir1 Ir 0.2500 0.2500 0.2500 1
Pt1 Pt 0.0000 0.0000 0.5000 1
```

Please write out number 4 again, unchanged.
Compound: AgIrPt
Source: the Alexandria database
Functional: PBE
Structure: relaxed

Properties
DFT formation energy (meV/atom): 729
Energy above the most stable polymorph in this dataset (meV/atom): 716
ρ (g/cm³): 14.37

```
data_AgIrPt
_chemical_formula_sum 'Ag4 Ir4 Pt4'
_cell_length_a 6.1173
_cell_length_b 6.1173
_cell_length_c 6.1173
_cell_angle_alpha 90.00
_cell_angle_beta 90.00
_cell_angle_gamma 90.00
_space_group_name_H-M_alt 'F -4 3 m'
_space_group_IT_number 216
_space_group_name_Hall 'F -4 2 3'
loop_
_atom_site_label
_atom_site_type_symbol
_atom_site_fract_x
_atom_site_fract_y
_atom_site_fract_z
_atom_site_occupancy
Ag1 Ag 0.0000 0.0000 0.0000 1
Ir1 Ir 0.2500 0.2500 0.2500 1
Pt1 Pt 0.0000 0.0000 0.5000 1
```

> Which value of ρ does entry 3 give?

15.31 g/cm³

> Look up the ρ of the first one.

15.28 g/cm³